## MgCr2O4 (PBE with a Hubbard U)

Data for an optimized crystal structure of MgCr2O4.

Values from the calculation:
Crystal system: trigonal
Space-group type: P3m1
D(E_F), states/eV/cell: 2.9
Relative energy among the computed polymorphs, kJ per mole of atoms: 12.2

```
MgCr2O4
1.0
-0.074 3.609 4.790
-1.447 -5.791 0.586
14.065 -3.244 2.663
Cr O Mg
12 24 6
direct
0.834 0.669 0.167 Cr
0.997 0.498 0.834 Cr
0.333 0.667 0.042 Cr
0.502 0.003 0.834 Cr
0.502 0.498 0.834 Cr
0.667 0.833 0.500 Cr
0.167 0.833 0.500 Cr
0.167 0.333 0.500 Cr
0.000 0.000 0.333 Cr
0.333 0.667 0.667 Cr
0.331 0.166 0.167 Cr
0.834 0.166 0.167 Cr
0.152 0.848 0.246 O
0.182 0.818 0.754 O
0.848 0.152 0.420 O
0.152 0.305 0.246 O
0.980 0.490 0.089 O
0.333 0.667 0.428 O
0.486 0.514 0.579 O
0.303 0.152 0.420 O
0.358 0.179 0.910 O
0.510 0.490 0.089 O
0.182 0.365 0.754 O
0.333 0.667 0.910 O
0.510 0.020 0.089 O
0.029 0.514 0.579 O
0.667 0.333 0.239 O
0.821 0.642 0.910 O
0.000 0.000 0.094 O
0.667 0.333 0.761 O
0.486 0.971 0.579 O
0.635 0.818 0.754 O
0.848 0.697 0.420 O
0.695 0.848 0.246 O
0.821 0.179 0.910 O
0.000 0.000 0.573 O
0.000 0.000 0.711 Mg
0.667 0.333 0.375 Mg
0.000 0.000 0.955 Mg
0.667 0.333 0.997 Mg
0.333 0.667 0.292 Mg
0.667 0.333 0.625 Mg
```